# Cs3Pr3MoO8 PBE with a Hubbard U optimized geometry
data_Cs3Pr3MoO8
_cell_length_a 12.5584
_cell_length_b 7.1705
_cell_length_c 8.1270
_cell_angle_alpha 90.00
_cell_angle_beta 120.72
_cell_angle_gamma 90.00
_symmetry_space_group_name_H-M 'C 1 2/m 1'
_symmetry_Int_Tables_number 12
loop_
_symmetry_equiv_pos_as_xyz
'x,y,z'
'-x,-y,-z'
'-x,y,-z'
'x,-y,z'
'x+1/2,y+1/2,z'
'-x+1/2,-y+1/2,-z'
'-x+1/2,y+1/2,-z'
'x+1/2,-y+1/2,z'
loop_
_atom_site_label
_atom_site_fract_x
_atom_site_fract_y
_atom_site_fract_z
Cs1 0.0000 0.0000 0.0000
Cs2 0.2500 0.2500 0.0000
Pr1 0.0000 0.5000 0.5000
Pr2 0.2500 0.2500 0.5000
Mo1 0.0000 0.0000 0.5000
O1 0.0221 0.2197 0.3449
O2 0.2063 0.0000 0.6590
O3 0.2211 0.5000 0.6682
# theoretical density	5.519	g/cm3
# D(E_F)	0.000	states/eV/atom
# crystal system	monoclinic
# total energy	-6.58	eV/atom